# 1
Entry from Alexandria via LeMat-Bulk: a geometry-optimized BaSrNpO4 structure (PBE).

For the total energy, the calculation gives -8.01 eV/atom. Its uncorrected formation energy is -2810 meV per atom. The density of states at the Fermi level is 5.84 states/eV/f.u.

It has space group I4mm (No. 107), with a = 4.4037 Å, b = 4.4037 Å, c = 13.2610 Å, α = 90.00°, β = 90.00° and γ = 90.00°. The inequivalent atoms are Ba at (0.0000, 0.0000, 0.0000), Sr at (0.0000, 0.0000, 0.7070), Np at (0.0000, 0.0000, 0.3515), O at (0.0000, 0.0000, 0.1876), O at (0.0000, 0.0000, 0.5225) and O at (0.0000, 0.5000, 0.3455).


# 2
Entry from Alexandria via LeMat-Bulk: a geometry-optimized ReSiTcRu structure (PBE).

For the total energy, the calculation gives -9.55 eV/atom. Its uncorrected formation energy is -170 meV per atom. The density of states at the Fermi level is 3.71 states/eV/f.u.

It has space group Pm (No. 6), with a = 4.4940 Å, b = 2.8523 Å, c = 4.4988 Å, α = 90.00°, β = 102.13° and γ = 90.00°. The inequivalent atoms are Re at (0.0000, 0.0000, 0.0000), Si at (0.5720, 0.0000, 0.5650), Tc at (0.1042, 0.5000, 0.5303) and Ru at (0.5238, 0.5000, 0.1144).


Repeat the second record exactly.
Entry from Alexandria via LeMat-Bulk: a geometry-optimized ReSiTcRu structure (PBE).

For the total energy, the calculation gives -9.55 eV/atom. Its uncorrected formation energy is -170 meV per atom. The density of states at the Fermi level is 3.71 states/eV/f.u.

It has space group Pm (No. 6), with a = 4.4940 Å, b = 2.8523 Å, c = 4.4988 Å, α = 90.00°, β = 102.13° and γ = 90.00°. The inequivalent atoms are Re at (0.0000, 0.0000, 0.0000), Si at (0.5720, 0.0000, 0.5650), Tc at (0.1042, 0.5000, 0.5303) and Ru at (0.5238, 0.5000, 0.1144).